Crystalline LiPrPu2Au4 at its relaxed geometry. Source: the Alexandria database, functional PBE-GGA.

Summary:
**D(E_F)**: 27.3 states/eV per cell
**Size of the total moment**: 1.462 μB per atom
**Formation energy from the elements**: -0.4548 eV per atom

The structure in POSCAR format:
```
LiPrPu2Au4
1.0
5.1027 0.0000 0.0000
2.5514 4.4191 0.0000
2.5514 1.4730 8.3619
Pu Pr Au Li
2 1 4 1
direct
0.2449 0.2449 0.2652
0.7551 0.7551 0.7348
0.0000 0.0000 0.0000
0.6200 0.6200 0.1399
0.3800 0.3800 0.8601
0.1246 0.1246 0.6261
0.8754 0.8754 0.3739
0.5000 0.5000 0.5000
```

---

Crystalline LiPr2RhAu at its relaxed geometry. Source: the Alexandria database, functional PBE-GGA.

Summary:
**D(E_F)**: 5.1 states/eV per cell
**Size of the total moment**: 0.000 μB per atom
**Formation energy from the elements**: -0.5849 eV per atom

The structure in POSCAR format:
```
LiPr2RhAu
1.0
4.1655 0.0000 0.0000
0.0000 4.1655 0.0000
0.0000 0.0000 14.1371
Rh Pr Li Au
2 4 2 2
direct
0.5000 0.0000 0.1047
0.0000 0.5000 0.8953
0.0000 0.5000 0.1059
0.0000 0.5000 0.7022
0.5000 0.0000 0.2978
0.5000 0.0000 0.8941
0.5000 0.5000 0.5000
0.0000 0.0000 0.5000
0.5000 0.0000 0.6313
0.0000 0.5000 0.3687
```

---

Crystalline LiPrRhAu at its relaxed geometry. Source: the Alexandria database, functional PBE-GGA.

Summary:
**D(E_F)**: 1.7 states/eV per cell
**Size of the total moment**: 0.000 μB per atom
**Formation energy from the elements**: -0.4375 eV per atom

The structure in POSCAR format:
```
LiPrRhAu
1.0
-4.1173 -1.2924 2.2723
0.0031 -0.7351 4.8213
-2.2530 3.1630 2.9504
Au Rh Li Pr
1 1 1 1
direct
0.0000 0.0000 0.0000
0.5000 0.5000 0.5000
0.2500 0.2500 0.2500
0.7500 0.7500 0.7500
```

---

Crystalline Li2PrSb2Au2 at its relaxed geometry. Source: the Alexandria database, functional PBE-GGA.

Summary:
**D(E_F)**: 2.2 states/eV per cell
**Size of the total moment**: 0.000 μB per atom
**Formation energy from raw total energies**: -4.9 eV/f.u.

The structure in POSCAR format:
```
Li2PrSb2Au2
1.0
4.5708 0.0000 0.0000
2.2854 3.9584 0.0000
2.2854 1.3195 8.3974
Li Au Sb Pr
2 2 2 1
direct
0.1438 0.1438 0.5686
0.8562 0.8562 0.4314
0.4424 0.4424 0.6727
0.5576 0.5576 0.3273
0.2590 0.2590 0.2231
0.7410 0.7410 0.7769
0.0000 0.0000 0.0000
```

---

Crystalline LiPrSbAu at its relaxed geometry. Source: the Alexandria database, functional PBE-GGA.

Summary:
**D(E_F)**: 1.4 states/eV per cell
**Size of the total moment**: 0.000 μB per atom
**Formation energy from raw total energies**: -2.9 eV/f.u.

The structure in POSCAR format:
```
LiPrSbAu
1.0
5.1889 0.0000 0.0000
2.5945 4.4938 0.0000
2.5945 1.4979 4.2368
Sb Au Pr Li
1 1 1 1
direct
0.5000 0.5000 0.5000
0.0000 0.0000 0.0000
0.7500 0.7500 0.7500
0.2500 0.2500 0.2500
```

---

Crystalline Li2PrScAu4 at its relaxed geometry. Source: the Alexandria database, functional PBE-GGA.

Summary:
**D(E_F)**: 5.5 states/eV per cell
**Size of the total moment**: 0.000 μB per atom
**Formation energy from the elements**: -0.6754 eV per atom

The structure in POSCAR format:
```
Li2PrScAu4
1.0
-1.5598 -2.1875 3.7600
2.7642 -0.5598 3.6609
-2.3743 6.6559 5.7272
Sc Pr Li Au
1 1 2 4
direct
0.5000 0.5000 0.5000
0.0000 0.0000 0.0000
0.2403 0.2403 0.2792
0.7597 0.7597 0.7208
0.1238 0.1238 0.6286
0.6059 0.6059 0.1822
0.8762 0.8762 0.3714
0.3941 0.3941 0.8178
```

---

Crystalline LiPrSc2Au4 at its relaxed geometry. Source: the Alexandria database, functional PBE-GGA.

Summary:
**D(E_F)**: 3.6 states/eV per cell
**Size of the total moment**: 0.000 μB per atom
**Formation energy from the elements**: -0.7131 eV per atom

The structure in POSCAR format:
```
LiPrSc2Au4
1.0
-1.7129 -4.3919 -0.6594
-0.8565 -2.8080 3.7469
-8.8058 0.6319 1.4843
Sc Au Li Pr
2 4 1 1
direct
0.2366 0.2366 0.2901
0.7634 0.7634 0.7099
0.6032 0.6032 0.1905
0.8751 0.8751 0.3746
0.3968 0.3968 0.8095
0.1249 0.1249 0.6254
0.5000 0.5000 0.5000
0.0000 0.0000 0.0000
```

---

Crystalline LiPr2Si3Au12 at its relaxed geometry. Source: the Alexandria database, functional PBE-GGA.

Summary:
**D(E_F)**: 5.1 states/eV per cell
**Size of the total moment**: 0.000 μB per atom
**Formation energy from raw total energies**: -3.1 eV/f.u.

The structure in POSCAR format:
```
LiPr2Si3Au12
1.0
-7.4210 -1.8639 -1.6170
-0.3697 -7.2247 -2.9712
-2.7518 -4.9759 5.3692
Li Au Si Pr
1 12 3 2
direct
0.0000 0.0000 0.0000
0.3076 0.3076 0.8484
0.3667 0.8585 0.8585
0.1415 0.1415 0.6333
0.6333 0.1415 0.1415
0.1415 0.6333 0.1415
0.1516 0.6924 0.6924
0.6924 0.1516 0.6924
0.8484 0.3076 0.3076
0.3076 0.8484 0.3076
0.8585 0.8585 0.3667
0.8585 0.3667 0.8585
0.6924 0.6924 0.1516
0.0000 0.0000 0.5000
0.5000 0.0000 0.0000
0.0000 0.5000 0.0000
0.3932 0.3932 0.3932
0.6068 0.6068 0.6068
```

---

Crystalline LiPr2Si3Au4 at its relaxed geometry. Source: the Alexandria database, functional PBE-GGA.

Summary:
**D(E_F)**: 4.2 states/eV per cell
**Size of the total moment**: 0.000 μB per atom
**Formation energy from raw total energies**: -6.5 eV/f.u.

The structure in POSCAR format:
```
LiPr2Si3Au4
1.0
-0.6892 2.8301 -3.3093
-2.3270 -3.0713 -2.1420
-8.4039 3.2239 4.5071
Au Si Pr Li
4 3 2 1
direct
0.5000 0.0000 0.6197
0.0000 0.5000 0.3803
0.0000 0.0000 0.0000
0.5000 0.5000 0.0000
0.0000 0.5000 0.1373
0.5000 0.0000 0.8627
0.0000 0.0000 0.5000
0.5000 0.0000 0.2473
0.0000 0.5000 0.7527
0.5000 0.5000 0.5000
```

---

Crystalline LiPrSi2Au5 at its relaxed geometry. Source: the Alexandria database, functional PBE-GGA.

Summary:
**D(E_F)**: 4.7 states/eV per cell
**Size of the total moment**: 0.000 μB per atom
**Formation energy from raw total energies**: -2.7 eV/f.u.

The structure in POSCAR format:
```
LiPrSi2Au5
1.0
-2.3498 -3.7084 -1.0435
3.7983 -2.0260 -1.3530
1.3556 -3.3348 8.7991
Au Si Pr Li
5 2 1 1
direct
0.5000 0.5000 0.5000
0.0000 0.5000 0.1593
0.5000 0.0000 0.8407
0.0000 0.5000 0.8407
0.5000 0.0000 0.1593
0.5000 0.5000 0.2518
0.5000 0.5000 0.7482
0.0000 0.0000 0.5000
0.0000 0.0000 0.0000
```

---

Crystalline LiPrSi2Au2 at its relaxed geometry. Source: the Alexandria database, functional PBE-GGA.

Summary:
**D(E_F)**: 4.1 states/eV per cell
**Size of the total moment**: 0.000 μB per atom
**Formation energy from raw total energies**: -3.7 eV/f.u.

The structure in POSCAR format:
```
LiPrSi2Au2
1.0
4.3283 0.0000 0.0000
-2.1641 3.7484 0.0000
0.0000 0.0000 6.9743
Pr Au Si Li
1 2 2 1
direct
0.0000 0.0000 0.0000
0.3333 0.6667 0.3178
0.6667 0.3333 0.6822
0.6667 0.3333 0.2857
0.3333 0.6667 0.7143
0.0000 0.0000 0.5000
```

---

Crystalline Li2PrSiAu4 at its relaxed geometry. Source: the Alexandria database, functional PBE-GGA.

Summary:
**D(E_F)**: 3.0 states/eV per cell
**Size of the total moment**: 0.000 μB per atom
**Formation energy from raw total energies**: -4.0 eV/f.u.

The structure in POSCAR format:
```
Li2PrSiAu4
1.0
4.4576 0.0000 0.0000
2.2288 3.8604 0.0000
2.2288 1.2868 8.7822
Si Au Li Pr
1 4 2 1
direct
0.5000 0.5000 0.5000
0.5990 0.5990 0.2030
0.1315 0.1315 0.6054
0.4010 0.4010 0.7970
0.8685 0.8685 0.3946
0.7639 0.7639 0.7082
0.2361 0.2361 0.2918
0.0000 0.0000 0.0000
```

---

Crystalline LiPrSmAu at its relaxed geometry. Source: the Alexandria database, functional PBE-GGA.

Summary:
**D(E_F)**: 5.1 states/eV per cell
**Size of the total moment**: 0.001 μB per atom
**Formation energy from the elements**: -0.3303 eV per atom

The structure in POSCAR format:
```
LiPrSmAu
1.0
-0.1939 -4.8424 2.0664
1.7506 -0.8466 4.8965
-3.4112 -1.0791 3.8673
Pr Li Au Sm
1 1 1 1
direct
0.2500 0.2500 0.2500
0.5000 0.5000 0.5000
0.0000 0.0000 0.0000
0.7500 0.7500 0.7500
```

---

Crystalline Li2PrSmAu2 at its relaxed geometry. Source: the Alexandria database, functional PBE-GGA.

Summary:
**D(E_F)**: 6.1 states/eV per cell
**Size of the total moment**: 0.000 μB per atom
**Formation energy from the elements**: -0.5263 eV per atom

The structure in POSCAR format:
```
Li2PrSmAu2
1.0
4.6675 0.0000 0.0000
-2.3337 4.0421 0.0000
0.0000 0.0000 7.0947
Au Li Sm Pr
2 2 1 1
direct
0.6667 0.3333 0.7396
0.3333 0.6667 0.2604
0.6667 0.3333 0.2619
0.3333 0.6667 0.7381
0.0000 0.0000 0.5000
0.0000 0.0000 0.0000
```

---

Crystalline LiPrSmAu at its relaxed geometry. Source: the Alexandria database, functional PBE-GGA.

Summary:
**D(E_F)**: 4.3 states/eV per cell
**Size of the total moment**: 0.000 μB per atom
**Formation energy from the elements**: -0.3575 eV per atom

The structure in POSCAR format:
```
LiPrSmAu
1.0
-1.3736 3.4618 -0.8431
-1.3052 0.6881 4.9522
4.6762 2.0850 0.9428
Pr Li Sm Au
1 1 1 1
direct
0.5000 0.0000 0.5000
0.0000 0.5000 0.5000
0.5000 0.5000 0.0000
0.0000 0.0000 0.0000
```

---

Crystalline LiPr2SnAu6 at its relaxed geometry. Source: the Alexandria database, functional PBE-GGA.

Summary:
**D(E_F)**: 4.4 states/eV per cell
**Size of the total moment**: 0.000 μB per atom
**Formation energy from the elements**: -0.5000 eV per atom

The structure in POSCAR format:
```
LiPr2SnAu6
1.0
-0.7651 -6.2523 2.1440
3.4722 2.7698 5.4321
-1.8508 1.9829 6.6416
Au Li Sn Pr
6 1 1 2
direct
0.5586 0.7454 0.1459
0.8294 0.3589 0.9822
0.1706 0.6411 0.0178
0.7424 0.8067 0.4941
0.4414 0.2546 0.8541
0.2576 0.1933 0.5059
0.5000 0.5000 0.0000
0.0000 0.0000 0.0000
0.2411 0.7519 0.4971
0.7589 0.2481 0.5029
```

---

Crystalline LiTb2PrAu4 at its relaxed geometry. Source: the Alexandria database, functional PBE-GGA.

Summary:
**D(E_F)**: 4.4 states/eV per cell
**Size of the total moment**: 0.000 μB per atom
**Formation energy from the elements**: -0.7374 eV per atom

The structure in POSCAR format:
```
LiTb2PrAu4
1.0
5.0213 0.0000 0.0000
2.5107 4.3486 0.0000
2.5107 1.4495 8.4500
Pr Au Li Tb
1 4 1 2
direct
0.0000 0.0000 0.0000
0.1216 0.1216 0.6352
0.8784 0.8784 0.3648
0.3886 0.3886 0.8343
0.6114 0.6114 0.1657
0.5000 0.5000 0.5000
0.7611 0.7611 0.7167
0.2389 0.2389 0.2833
```

---

Crystalline LiTbPrAu at its relaxed geometry. Source: the Alexandria database, functional PBE-GGA.

Summary:
**D(E_F)**: 3.8 states/eV per cell
**Size of the total moment**: 0.000 μB per atom
**Formation energy from the elements**: -0.3682 eV per atom

The structure in POSCAR format:
```
LiTbPrAu
1.0
3.7601 0.0000 0.0000
0.0000 5.1367 0.0000
0.0000 0.0000 5.1977
Au Pr Li Tb
1 1 1 1
direct
0.0000 0.0000 0.0000
0.5000 0.0000 0.5000
0.0000 0.5000 0.5000
0.5000 0.5000 0.0000
```

---

Crystalline LiTbPrAu at its relaxed geometry. Source: the Alexandria database, functional PBE-GGA.

Summary:
**D(E_F)**: 4.4 states/eV per cell
**Size of the total moment**: 0.000 μB per atom
**Formation energy from the elements**: -0.3462 eV per atom

The structure in POSCAR format:
```
LiTbPrAu
1.0
5.2272 0.0000 0.0000
2.6136 4.5269 0.0000
2.6136 1.5090 4.2680
Pr Tb Li Au
1 1 1 1
direct
0.7500 0.7500 0.7500
0.2500 0.2500 0.2500
0.5000 0.5000 0.5000
0.0000 0.0000 0.0000
```

---

Crystalline LiPrThAu at its relaxed geometry. Source: the Alexandria database, functional PBE-GGA.

Summary:
**D(E_F)**: 5.5 states/eV per cell
**Size of the total moment**: 0.183 μB per atom
**Formation energy from the elements**: -0.1890 eV per atom

The structure in POSCAR format:
```
LiPrThAu
1.0
5.2763 0.0000 0.0000
2.6382 4.5694 0.0000
2.6382 1.5231 4.3081
Li Th Pr Au
1 1 1 1
direct
0.5000 0.5000 0.5000
0.7500 0.7500 0.7500
0.2500 0.2500 0.2500
0.0000 0.0000 0.0000
```